{
  "formula": "As2OsRu",
  "functional": "GGA-PBE",
  "state": "relaxed",
  "de_polymorph_mev_per_atom": 647,
  "dos_ef_per_ev_cell": 6.83,
  "formation_enthalpy_0k_mev_per_atom": 702,
  "lattice": [[-3.3402, -1.5441, -2.5098], [0.6887, -3.4271, -2.7606], [-1.8021, -3.9747, 0.8912]],
  "species": ["Ru", "As", "As", "Os"],
  "fractional_positions": [[0.7500, 0.7500, 0.7500], [0.0000, 0.0000, 0.0000], [0.2500, 0.2500, 0.2500], [0.5000, 0.5000, 0.5000]]
}